AlZn2Au7 | PBE-GGA | relaxed

DFT formation energy (meV per atom): -142
Energy above the lowest structure with this stoichiometry (meV/atom): 50
Total magnetic moment (μB per atom): 0.000
ρ (kg/m3): 13867
Calculated volume (Å³/cell): 184

a b c (Å): 4.389 4.389 11.030
angles (deg): 90.00 90.00 120.00
Fractional positions:
Al: 0.000 0.000 0.000
Zn: 0.333 0.667 0.647
Zn: 0.667 0.333 0.323
Au: 0.000 0.000 0.239
Au: 0.000 0.000 0.707
Au: 0.333 0.667 0.403
Au: 0.333 0.667 0.942
Au: 0.667 0.333 0.089
Au: 0.667 0.333 0.555
Au: 0.667 0.333 0.822


Sm5Dy2Y12 | PBE-GGA | relaxed

DFT formation energy (meV per atom): 57
Energy above the lowest structure with this stoichiometry (meV/atom): 0
Total magnetic moment (μB per atom): 0.000
ρ (kg/m3): 5701
Calculated volume (Å³/cell): 624

a b c (Å): 6.311 8.917 12.140
angles (deg): 69.56 80.26 78.92
Fractional positions:
Sm: 0.000 0.000 0.000
Sm: 0.217 0.327 0.010
Sm: 0.368 0.837 0.506
Sm: 0.632 0.163 0.494
Sm: 0.783 0.673 0.990
Dy: 0.253 0.501 0.434
Dy: 0.747 0.499 0.566
Y: 0.085 0.129 0.661
Y: 0.163 0.207 0.327
Y: 0.239 0.462 0.711
Y: 0.268 0.602 0.142
Y: 0.311 0.739 0.832
Y: 0.460 0.927 0.172
Y: 0.540 0.073 0.828
Y: 0.689 0.261 0.168
Y: 0.732 0.398 0.858
Y: 0.761 0.538 0.289
Y: 0.837 0.793 0.673
Y: 0.915 0.871 0.339


AlCrRh2 | PBE-GGA | relaxed

DFT formation energy (meV per atom): -536
Total magnetic moment (μB per atom): 0.785
ρ (kg/m3): 8578
Calculated volume (Å³/cell): 55

a b c (Å): 4.288 4.288 2.998
angles (deg): 90.00 90.00 90.00
Fractional positions:
Al: 0.000 0.000 0.000
Cr: 0.500 0.500 0.000
Rh: 0.000 0.500 0.500
Rh: 0.500 0.000 0.500


Sr3InHg2Au6 | PBE-GGA | relaxed

DFT formation energy (meV per atom): -497
Total magnetic moment (μB per atom): 0.000
ρ (kg/m3): 10357
Calculated volume (Å³/cell): 314

a b c (Å): 6.379 6.379 8.921
angles (deg): 90.00 90.00 120.00
Fractional positions:
Sr: 0.000 0.000 0.000
Sr: 0.333 0.667 0.619
Sr: 0.667 0.333 0.381
In: 0.000 0.000 0.500
Hg: 0.333 0.667 0.996
Hg: 0.667 0.333 0.004
Au: 0.183 0.366 0.284
Au: 0.183 0.817 0.284
Au: 0.366 0.183 0.716
Au: 0.634 0.817 0.284
Au: 0.817 0.183 0.716
Au: 0.817 0.634 0.716


CuPd3Br | PBE-GGA | relaxed

ΔE_f (raw) (eV/atom): 0.72
Total magnetic moment (μB per atom): 0.000
ρ (kg/m3): 7506
Calculated volume (Å³/cell): 102

a b c (Å): 4.678 4.678 4.678
angles (deg): 90.00 90.00 90.00
Fractional positions:
Cu: 0.000 0.000 0.000
Pd: 0.000 0.000 0.500
Pd: 0.000 0.500 0.000
Pd: 0.500 0.000 0.000
Br: 0.500 0.500 0.500


BaTlIr2 | PBE-GGA | relaxed

DFT formation energy (meV per atom): 738
Total magnetic moment (μB per atom): 0.000
ρ (kg/m3): 13722
Calculated volume (Å³/cell): 88

a b c (Å): 5.812 5.812 3.125
angles (deg): 103.90 103.90 112.56
Fractional positions:
Ba: 0.000 0.000 0.000
Tl: 0.500 0.500 0.000
Ir: 0.000 0.500 0.500
Ir: 0.500 0.000 0.500


NaAcB2O5 | PBE-GGA | relaxed

ΔE_f (raw) (eV/atom): -1.59
Total magnetic moment (μB per atom): 0.000
ρ (kg/m3): 6291
Calculated volume (Å³/cell): 93

a b c (Å): 3.598 3.598 7.168
angles (deg): 90.00 90.00 90.00
Fractional positions:
Na: 0.000 0.000 0.000
Ac: 0.000 0.000 0.500
B: 0.500 0.500 0.283
B: 0.500 0.500 0.717
O: 0.000 0.500 0.241
O: 0.000 0.500 0.759
O: 0.500 0.000 0.241
O: 0.500 0.000 0.759
O: 0.500 0.500 0.500


Ti5GaSi2 | PBE-GGA | relaxed

ΔE_f (raw) (eV/atom): -0.61
Total magnetic moment (μB per atom): 0.000
ρ (kg/m3): 4811
Calculated volume (Å³/cell): 252

a b c (Å): 7.400 7.400 7.400
angles (deg): 126.69 126.69 78.76
Fractional positions:
Ti: 0.000 0.000 0.000
Ti: 0.010 0.510 0.822
Ti: 0.188 0.010 0.500
Ti: 0.312 0.812 0.822
Ti: 0.490 0.312 0.500
Ti: 0.500 0.500 0.000
Ti: 0.510 0.688 0.500
Ti: 0.688 0.188 0.178
Ti: 0.812 0.990 0.500
Ti: 0.990 0.490 0.178
Ga: 0.250 0.250 0.000
Ga: 0.750 0.750 0.000
Si: 0.133 0.367 0.500
Si: 0.367 0.867 0.235
Si: 0.633 0.133 0.765
Si: 0.867 0.633 0.500